1.
A relaxed structure of RbLaB3, computed with PBE-GGA.

Geometry as POSCAR:
```
RbLaB3
1.0
5.107 0.000 0.000
0.000 5.107 0.000
0.000 0.000 5.107
Rb La B
1 1 3
Cartesian
0.000 0.000 0.000
2.553 2.553 2.553
0.000 2.553 2.553
2.553 0.000 2.553
2.553 2.553 0.000
```

## Properties
Raw total energy   -3.2828 eV per atom
ΔE to the lowest computed polymorph   0 meV/atom
N(E_F)   4.7 states/eV per cell


2.
A relaxed structure of Ho2NpBiO8, computed with PBE-GGA.

Geometry as POSCAR:
```
Ho2NpBiO8
1.0
3.587 -3.644 0.000
3.587 3.644 0.000
0.000 0.000 7.052
Ho Np Bi O
2 1 1 8
Cartesian
0.000 0.000 1.717
0.000 0.000 5.334
3.587 0.000 3.526
3.587 0.000 0.000
1.329 0.000 0.000
1.560 0.000 3.526
3.587 1.366 1.991
3.587 1.366 5.061
3.587 -1.366 1.991
3.587 -1.366 5.061
5.613 0.000 3.526
5.844 0.000 0.000
```

## Properties
Raw total energy   -8.1762 eV per atom
N(E_F)   4.1 states/eV per cell
Uncorrected formation energy   -2706 meV per atom


3.
A relaxed structure of IrOsAu4, computed with PBE-GGA.

Geometry as POSCAR:
```
IrOsAu4
1.0
0.000 3.779 3.779
3.779 0.000 3.779
3.779 3.779 0.000
Ir Os Au
1 1 4
Cartesian
0.000 0.000 0.000
1.889 1.889 1.889
4.724 2.834 2.834
2.834 4.724 2.834
2.834 2.834 4.724
4.724 4.724 4.724
```

## Properties
Raw total energy   -4.5027 eV per atom
N(E_F)   3.5 states/eV per cell


4.
A relaxed structure of MnBeFeGe, computed with PBE-GGA.

Geometry as POSCAR:
```
MnBeFeGe
1.0
5.593 0.000 0.000
0.000 5.593 0.000
0.000 0.000 5.593
Mn Be Fe Ge
4 4 4 4
Cartesian
0.000 0.000 0.000
0.000 2.797 2.797
2.797 0.000 2.797
2.797 2.797 0.000
1.398 1.398 4.195
1.398 4.195 1.398
4.195 1.398 1.398
4.195 4.195 4.195
0.000 0.000 2.797
0.000 2.797 0.000
2.797 0.000 0.000
2.797 2.797 2.797
1.398 1.398 1.398
1.398 4.195 4.195
4.195 1.398 4.195
4.195 4.195 1.398
```

## Properties
Raw total energy   -6.5683 eV per atom
N(E_F)   12.0 states/eV per cell


5.
A relaxed structure of YSc2ZnSe, computed with PBE-GGA.

Geometry as POSCAR:
```
YSc2ZnSe
1.0
4.998 0.000 0.000
0.000 4.998 0.000
0.000 0.000 5.365
Y Sc Zn Se
1 2 1 1
Cartesian
0.000 0.000 0.000
0.000 2.499 2.683
2.499 0.000 2.683
0.000 0.000 2.683
2.499 2.499 0.000
```

## Properties
Raw total energy   -4.8649 eV per atom
N(E_F)   4.3 states/eV per cell
Uncorrected formation energy   -88 meV per atom


6.
A relaxed structure of Hg3As5I12, computed with PBE-GGA.

Geometry as POSCAR:
```
Hg3As5I12
1.0
-9.724 9.724 9.724
9.724 -9.724 9.724
9.724 9.724 -9.724
Hg As I
12 20 48
Cartesian
4.862 2.431 0.000
9.724 4.862 -2.431
2.431 0.000 4.862
12.155 0.000 4.862
0.000 4.862 2.431
4.862 -2.431 9.724
4.862 12.155 0.000
9.724 4.862 7.293
-2.431 9.724 4.862
7.293 9.724 4.862
0.000 4.862 12.155
4.862 7.293 9.724
0.000 0.000 0.000
4.862 4.862 -4.862
4.862 -4.862 4.862
9.724 0.000 0.000
14.586 2.431 0.000
9.724 -4.862 7.293
7.293 9.724 -4.862
7.293 0.000 4.862
4.862 7.293 0.000
9.724 4.862 2.431
-4.862 4.862 4.862
0.000 9.724 0.000
0.000 0.000 9.724
4.862 4.862 4.862
0.000 4.862 7.293
4.862 2.431 9.724
2.431 9.724 4.862
2.431 0.000 14.586
0.000 14.586 2.431
-4.862 7.293 9.724
7.624 -5.632 5.660
16.685 0.798 -0.771
12.486 0.798 0.771
11.823 -4.091 5.660
13.815 4.064 -2.100
10.494 -6.961 8.926
5.660 7.624 -5.632
8.926 -0.771 2.762
8.926 10.494 -6.961
5.660 -2.100 5.632
5.632 5.660 -2.100
8.953 2.762 0.798
15.356 4.064 2.100
8.953 -2.762 8.926
8.926 8.953 -2.762
5.660 2.100 4.091
5.660 11.823 -4.091
8.926 0.771 6.961
4.091 5.660 2.100
10.494 6.961 0.798
2.762 8.926 -0.771
11.823 4.091 4.064
6.961 8.926 0.771
7.624 5.632 4.064
2.100 4.091 5.660
2.762 0.798 8.953
-2.100 5.632 5.660
6.961 0.798 10.494
-0.771 2.762 8.926
5.632 4.064 7.624
0.798 8.953 2.762
4.064 -2.100 13.815
4.064 7.624 5.632
0.798 0.771 12.486
0.771 12.486 0.798
-5.632 5.660 7.624
0.771 6.961 8.926
4.091 4.064 11.823
4.064 11.823 4.091
0.798 -0.771 16.685
0.798 10.494 6.961
4.064 2.100 15.356
-0.771 16.685 0.798
-4.091 5.660 11.823
-2.100 13.815 4.064
-2.762 8.926 8.953
-6.961 8.926 10.494
2.100 15.356 4.064
```

## Properties
Raw total energy   -2.0786 eV per atom
N(E_F)   33.4 states/eV per cell
Uncorrected formation energy   59 meV per atom